## MnAgS2 (GGA-PBE)

Data for MnAgS2 after structural relaxation.

Formation energy from raw total energies = -0.33 eV per atom
M_tot = 4.0 μB/f.u.
Fermi-level density of states = 1.68 states/eV per cell

a b c (Å): 3.5567 3.5567 6.8789
angles (deg): 90.00 90.00 120.00
Space group P3m1 (No. 156)
Symmetry-distinct sites (fractional):
Mn: 0.0000 0.0000 0.0000 [1 per cell]
Ag: 0.3333 0.6667 0.4617 [1 per cell]
S: 0.3333 0.6667 0.8152 [1 per cell]
S: 0.6667 0.3333 0.2044 [1 per cell]